Below is a relaxed structure of TaTc3N, with properties calculated at the PBE level.

M_tot: 0.00 Bohr magnetons per cell
E above lowest polymorph: 0 meV per atom
VASP energy: -52.236 eV for the cell shown
formation energy from raw total energies: -0.19 eV per atom

Structure (CIF):
```
data_TaTc3N
_chemical_formula_sum 'Ta1 Tc3 N1'
_cell_length_a 4.081
_cell_length_b 4.081
_cell_length_c 4.081
_cell_angle_alpha 90.00
_cell_angle_beta 90.00
_cell_angle_gamma 90.00
_space_group_name_H-M_alt 'P m -3 m'
_space_group_IT_number 221
_space_group_name_Hall '-P 4 2 3'
loop_
_atom_site_label
_atom_site_fract_x
_atom_site_fract_y
_atom_site_fract_z
_atom_site_occupancy
Ta1 0.000 0.000 0.000 1
Tc1 0.000 0.500 0.500 1
N1 0.500 0.500 0.500 1
```